(1)
Hf2MgTl | Alexandria via LeMat-Bulk | PBE | optimized geometry; magnetic moment = 0.0 μB/f.u.; theoretical density = 10.32 g/cm3; formation energy from the elements = 2.02 eV per formula unit; DFT total energy = -43.70 eV per cell
1.0
-4.0348 4.0348 2.8955
4.0348 -4.0348 2.8955
4.0348 4.0348 -2.8955
Hf Mg Tl
4 2 2
direct
0.1198 0.6250 0.9948 Hf
0.3750 0.3698 0.4948 Hf
0.6302 0.1250 0.0052 Hf
0.8750 0.8802 0.5052 Hf
0.2500 0.7500 0.5000 Mg
0.5000 0.5000 0.0000 Mg
0.0000 0.0000 0.0000 Tl
0.7500 0.2500 0.5000 Tl


(2)
HfMgTl2 | Alexandria via LeMat-Bulk | PBE | optimized geometry; magnetic moment = 0.0 μB/f.u.; theoretical density = 10.28 g/cm3; formation energy from the elements = 1.35 eV per formula unit; DFT total energy = -29.86 eV per cell
1.0
-3.9197 3.9197 3.2136
3.9197 -3.9197 3.2136
3.9197 3.9197 -3.2136
Hf Mg Tl
2 2 4
direct
0.0000 0.0000 0.0000 Hf
0.7500 0.2500 0.5000 Hf
0.2500 0.7500 0.5000 Mg
0.5000 0.5000 0.0000 Mg
0.1379 0.6250 0.0129 Tl
0.3750 0.3879 0.5129 Tl
0.6121 0.1250 0.9871 Tl
0.8750 0.8621 0.4871 Tl


(3)
Hf2MgTl2 | Alexandria via LeMat-Bulk | PBE | optimized geometry; energy above the lowest structure with this stoichiometry = 0.066 eV/atom; magnetic moment = 0.0 μB/f.u.; theoretical density = 10.72 g/cm3; formation energy from the elements = 1.35 eV per formula unit; DFT total energy = -49.76 eV per cell
1.0
8.6272 0.0000 0.0000
0.0000 8.6272 0.0000
0.0000 0.0000 3.2897
Hf Mg Tl
4 2 4
direct
0.1228 0.3772 0.0000 Hf
0.3772 0.8772 0.0000 Hf
0.6228 0.1228 0.0000 Hf
0.8772 0.6228 0.0000 Hf
0.0000 0.0000 0.0000 Mg
0.5000 0.5000 0.0000 Mg
0.1770 0.6770 0.5000 Tl
0.3230 0.1770 0.5000 Tl
0.6770 0.8230 0.5000 Tl
0.8230 0.3230 0.5000 Tl


(4)
HfMgTl3 | Alexandria via LeMat-Bulk | PBE | optimized geometry; energy above the lowest structure with this stoichiometry = 0.227 eV/atom; magnetic moment = 0.0 μB/f.u.; theoretical density = 9.19 g/cm3; formation energy from the elements = 4.19 eV per formula unit; DFT total energy = -14.45 eV per cell
1.0
5.2826 0.0000 0.0000
0.0000 5.2826 0.0000
0.0000 0.0000 5.2826
Hf Mg Tl
1 1 3
direct
0.0000 0.0000 0.0000 Hf
0.5000 0.5000 0.5000 Mg
0.0000 0.5000 0.5000 Tl
0.5000 0.0000 0.5000 Tl
0.5000 0.5000 0.0000 Tl


(5)
HfMgTl2 | Alexandria via LeMat-Bulk | PBE | optimized geometry; magnetic moment = 0.0 μB/f.u.; theoretical density = 9.89 g/cm3; formation energy from the elements = 1.45 eV per formula unit; DFT total energy = -14.83 eV per cell
1.0
2.3133 1.3356 5.5410
-2.3133 1.3356 5.5410
0.0000 -2.6712 5.5410
Hf Mg Tl
1 1 2
direct
0.0000 0.0000 0.0000 Hf
0.1974 0.1974 0.1974 Mg
0.5921 0.5921 0.5921 Tl
0.7811 0.7811 0.7811 Tl


(6)
Tm2HfMg2 | Alexandria via LeMat-Bulk | PBE | optimized geometry; magnetic moment = 0.0 μB/f.u.; theoretical density = 7.36 g/cm3; formation energy from the elements = -0.12 eV per formula unit; DFT total energy = -22.21 eV per cell
1.0
-1.6769 1.6769 11.3306
1.6769 -1.6769 11.3306
1.6769 1.6769 -11.3306
Tm Hf Mg
2 1 2
direct
0.0994 0.0994 0.0000 Tm
0.9006 0.9006 0.0000 Tm
0.5000 0.5000 0.0000 Hf
0.2940 0.2940 0.0000 Mg
0.7060 0.7060 0.0000 Mg